DFT (PBE-GGA) results for NdY2Er2Tm after structural relaxation.

Cell: 3.377 6.679 17.466 Å, 90.00 90.00 90.00°
Fractional positions:
Nd1 0.500 0.500 0.000
Nd2 0.000 0.000 0.500
Y1 0.500 0.759 0.346
Y2 0.500 0.241 0.654
Y3 0.000 0.741 0.846
Y4 0.000 0.259 0.154
Er1 0.500 0.257 0.325
Er2 0.000 0.757 0.175
Er3 0.500 0.743 0.675
Er4 0.000 0.243 0.825
Tm1 0.000 0.000 0.000
Tm2 0.500 0.500 0.500

DOS(E_F)	18.837	states/eV per cell
total magnetization	0.00	μB/atom
formation energy	293.8	meV per atom
theoretical density	6.96	g/cm3